This record from Alexandria describes a relaxed structure of AlCdTe2O6. The functional is PBE.

a b c (Å): 10.1369 12.0066 5.5194
angles (deg): 90.00 105.24 90.00
Last column: nearest neighbours and their distance in Å.
Space group C2/c (No. 15)
Symmetry-distinct sites (fractional):
Al: 0.0000 0.1809 0.2500  4 O 1.77-1.80
Cd: 0.0000 0.0841 0.7500  6 O 2.25-2.48
Te: 0.1558 0.3833 0.7361  2 O 1.87-2.04
O: 0.0839 0.2416 0.5410  1 Al 1.77
O: 0.1158 0.0859 0.1571  1 Al 1.80
O: 0.1488 0.4547 0.4321  1 Te 1.87

Calculated values
Density: 5.03 g cm⁻³
Formation energy (no corrections): -1.2864 eV per atom
M_tot: 0.00 μB per atom

---

This record from Alexandria describes a relaxed structure of Al2CdTeO8. The functional is PBE.

a b c (Å): 6.3808 6.5219 6.4335
angles (deg): 90.00 90.00 90.00
Last column: nearest neighbours and their distance in Å.
Space group Cmmm (No. 65)
Symmetry-distinct sites (fractional):
Al: 0.0000 0.0000 0.2196  6 O 1.89-1.97
Cd: 0.0000 0.5000 0.5000  6 O 2.21-2.47
Te: 0.0000 0.5000 0.0000  6 O 1.94-1.98
O: 0.0000 0.1210 0.5000  1 O 1.58
O: 0.0000 0.1960 0.0000  2 Al 1.91, 1 Te 1.98
O: 0.2046 0.5000 0.2225  1 Al 1.89, 1 Te 1.94

Calculated values
Density: 5.23 g cm⁻³
Formation energy (no corrections): -1.6122 eV per atom
M_tot: 0.00 μB per atom

---

This record from Alexandria describes a relaxed structure of AlCdTe2O8. The functional is PBE.

a b c (Å): 5.7847 5.7847 6.2321
angles (deg): 90.00 90.00 120.00
Last column: nearest neighbours and their distance in Å.
Space group P-3 (No. 147)
Symmetry-distinct sites (fractional):
Al: 0.0000 0.0000 0.0000  6 O 1.92
Cd: 0.0000 0.0000 0.5000  6 O 2.38
Te: 0.3333 0.6667 0.2625  4 O 1.81-1.92
O: 0.1452 0.2924 0.1984  1 Al 1.92, 1 Te 1.92
O: 0.3333 0.6667 0.5534  1 Te 1.81

Calculated values
Density: 4.80 g cm⁻³
Formation energy (no corrections): -1.1663 eV per atom
M_tot: 0.00 μB per atom

---

This record from Alexandria describes a relaxed structure of AlCdTeO6. The functional is PBE.

a b c (Å): 5.1462 5.1462 9.6319
angles (deg): 90.00 90.00 120.00
Last column: nearest neighbours and their distance in Å.
Space group P-31c (No. 163)
Symmetry-distinct sites (fractional):
Al: 0.3333 0.6667 0.2500  6 O 1.93
Cd: 0.0000 0.0000 0.0000  6 O 2.33
Te: 0.3333 0.6667 0.7500  6 O 1.95
O: 0.0039 0.3695 0.1418  1 Al 1.93, 1 Te 1.95

Calculated values
Density: 5.46 g cm⁻³
Formation energy (no corrections): -1.4398 eV per atom
M_tot: 0.12 μB per atom